1.
AcTbCl2 | Alexandria via LeMat-Bulk | PBE | relaxed; Fermi-level density of states = 0.4287 states/eV/atom; formation energy (no corrections) = -1332 meV per atom
1.0
1.9052 1.1000 9.8905
-1.9052 1.1000 9.8905
0.0000 -2.1999 9.8905
Ac Tb Cl
1 1 2
direct
0.0000 0.0000 0.0000
0.5000 0.5000 0.5000
0.4089 0.4089 0.4089
0.5911 0.5911 0.5911



2.
AcTb2Cl | Alexandria via LeMat-Bulk | PBE | relaxed; Fermi-level density of states = 0.8569 states/eV/atom; formation energy (no corrections) = -363 meV per atom
1.0
1.8882 1.0902 10.4017
-1.8882 1.0902 10.4017
0.0000 -2.1803 10.4017
Ac Tb Cl
1 2 1
direct
0.0000 0.0000 0.0000
0.1133 0.1133 0.1133
0.8867 0.8867 0.8867
0.5000 0.5000 0.5000



3.
AcTeCl | Alexandria via LeMat-Bulk | PBE | relaxed; Fermi-level density of states = 0.0000 states/eV/atom; distance to the lowest polymorph of the same formula = 116 meV per atom; formation energy (no corrections) = -1905 meV per atom
1.0
0.0000 3.8014 3.8014
3.8014 0.0000 3.8014
3.8014 3.8014 0.0000
Ac Te Cl
1 1 1
direct
0.0000 0.0000 0.0000
0.2500 0.2500 0.2500
0.7500 0.7500 0.7500



4.
AcTeCl | Alexandria via LeMat-Bulk | PBE | relaxed; distance to the lowest polymorph of the same formula = 0 meV per atom; formation energy (no corrections) = -2020 meV per atom
1.0
4.6913 0.0000 0.0000
0.0000 4.6913 0.0000
0.0000 0.0000 8.5503
Ac Te Cl
2 2 2
direct
0.2500 0.2500 0.2427
0.7500 0.7500 0.7573
0.2500 0.2500 0.6403
0.7500 0.7500 0.3597
0.2500 0.7500 0.0000
0.7500 0.2500 0.0000



Q: Among the records above, which one has the highest formation energy (no corrections)?
A: AcTb2Cl



Q: Which formula does entry 3 have?
A: AcTeCl